1.
{
  "formula": "Tm4IrRu",
  "functional": "PBE",
  "state": "optimized geometry",
  "lattice_angstrom": [[4.419, -6.358, 0.000], [4.419, 6.358, 0.000], [-3.530, 0.000, 5.150]],
  "species": ["Tm", "Tm", "Tm", "Tm", "Tm", "Tm", "Tm", "Tm", "Ir", "Ir", "Ru", "Ru"],
  "fractional_positions": [[0.047, 0.694, 0.904], [0.243, 0.366, 0.735], [0.306, 0.953, 0.596], [0.366, 0.243, 0.235], [0.634, 0.757, 0.765], [0.694, 0.047, 0.404], [0.757, 0.634, 0.265], [0.953, 0.306, 0.096], [0.365, 0.635, 0.250], [0.635, 0.365, 0.750], [0.001, 0.999, 0.750], [0.999, 0.001, 0.250]],
  "volume_a3_per_atom": 24.1,
  "dos_ef_per_ev_fu": 3.89,
  "e_form_ev_per_atom": -0.6133,
  "sg": "C2/c",
  "final_energy_ev_per_atom": -6.62,
  "de_polymorph_kj_per_mol_atoms": 0.0
}

2.
{
  "formula": "MnReSb",
  "functional": "PBE",
  "state": "optimized geometry",
  "lattice_angstrom": [[3.381, 0.000, 0.000], [0.000, 3.381, 0.000], [0.000, 0.000, 8.796]],
  "species": ["Mn", "Mn", "Re", "Re", "Sb", "Sb"],
  "fractional_positions": [[0.000, 0.000, 0.000], [0.500, 0.500, 0.500], [0.000, 0.000, 0.656], [0.500, 0.500, 0.156], [0.000, 0.000, 0.325], [0.500, 0.500, 0.825]],
  "volume_a3_per_atom": 16.8,
  "raw_formation_energy_ev_per_atom": 0.469,
  "dos_ef_per_ev_fu": 3.89,
  "sg": "I4mm",
  "final_energy_ev_per_atom": -8.11,
  "de_polymorph_kj_per_mol_atoms": 21.3
}